A plane-wave DFT calculation with SCAN was carried out for a PBEsol-optimized structure of LaCeCu4Si4.

Structure (POSCAR):
```
LaCeCu4Si4
1.0
4.064 0.000 0.000
0.000 4.064 0.000
0.000 0.000 9.765
La Ce Cu Si
1 1 4 4
Cartesian
0.000 0.000 0.000
2.032 2.032 4.882
0.000 2.032 2.467
0.000 2.032 7.298
2.032 0.000 2.467
2.032 0.000 7.298
0.000 0.000 3.710
0.000 0.000 6.055
2.032 2.032 1.218
2.032 2.032 8.547
```

Values from the calculation:
Calculated density ... 6.65 g/cm3
SG ... No. 123
Spin magnetization ... 0.496 μB per formula unit
Uncorrected formation energy ... -58.2 kJ per mole of atoms



A plane-wave DFT calculation with SCAN was carried out for a PBEsol-optimized structure of CeMgCu.

Structure (POSCAR):
```
CeMgCu
1.0
7.020 0.000 0.000
-3.510 6.079 0.000
0.000 0.000 4.345
Ce Mg Cu
3 3 3
Cartesian
-1.486 2.574 0.000
2.972 0.000 0.000
2.024 3.505 0.000
-2.669 4.624 2.172
0.840 1.456 2.172
5.339 0.000 2.172
0.000 0.000 0.000
0.000 4.053 2.172
3.510 2.026 2.172
```

Values from the calculation:
Calculated density ... 6.13 g/cm3
SG ... No. 189
Spin magnetization ... 0.869 μB per formula unit
E_form ... -0.098 eV per atom



A plane-wave DFT calculation with SCAN was carried out for a PBEsol-optimized structure of Sr4CeNd3Nb2Cu4O20.

Structure (POSCAR):
```
Sr4CeNd3Nb2Cu4O20
1.0
5.529 0.000 0.000
0.000 2.764 14.289
0.000 -2.764 14.289
Sr Ce Nd Nb Cu O
4 1 3 2 4 20
Cartesian
0.000 0.000 0.000
0.000 0.000 4.655
2.764 0.000 14.287
2.764 0.000 18.988
2.764 0.000 22.565
0.000 0.000 8.195
0.000 0.000 25.042
2.764 0.000 10.752
0.000 0.000 16.642
2.764 0.000 2.354
0.000 0.000 12.572
0.000 0.000 20.711
2.764 0.000 6.424
2.764 0.000 26.865
0.000 0.000 14.671
0.000 0.000 18.625
1.381 -1.381 12.439
1.380 -1.385 16.654
1.381 1.381 12.439
1.380 1.385 16.654
1.400 -1.365 20.850
1.400 1.365 20.850
1.415 -1.415 9.442
1.415 1.415 9.442
2.764 0.000 0.379
2.764 0.000 4.335
4.114 -1.415 9.442
4.114 1.415 9.442
4.129 -1.365 20.850
4.129 1.365 20.850
4.148 -1.381 12.439
4.149 -1.385 16.654
4.148 1.381 12.439
4.149 1.385 16.654
```

Values from the calculation:
Calculated density ... 6.40 g/cm3
SG ... No. 38
Spin magnetization ... 0.001 μB per formula unit
Uncorrected formation energy ... -261.5 kJ per mole of atoms



A plane-wave DFT calculation with SCAN was carried out for a PBEsol-optimized structure of Sr4CePr3Nb2Cu4O20.

Structure (POSCAR):
```
Sr4CePr3Nb2Cu4O20
1.0
5.540 0.000 0.000
0.000 2.770 14.334
0.000 -2.770 14.334
Sr Ce Pr Nb Cu O
4 1 3 2 4 20
Cartesian
0.000 0.000 0.000
0.000 0.000 4.641
2.770 0.000 14.331
2.770 0.000 19.032
2.770 0.000 22.615
0.000 0.000 8.188
0.000 0.000 25.118
2.770 0.000 10.784
0.000 0.000 16.685
2.770 0.000 2.352
0.000 0.000 12.622
0.000 0.000 20.745
2.770 0.000 6.413
2.770 0.000 26.959
0.000 0.000 14.716
0.000 0.000 18.666
1.382 -1.388 16.697
1.382 1.388 16.697
1.384 -1.384 12.490
1.384 1.384 12.490
1.407 -1.364 20.883
1.407 1.364 20.883
1.423 -1.423 9.449
1.423 1.423 9.449
2.770 0.000 0.379
2.770 0.000 4.331
4.117 -1.423 9.449
4.117 1.423 9.449
4.134 -1.364 20.883
4.134 1.364 20.883
4.156 -1.384 12.490
4.156 1.384 12.490
4.158 -1.388 16.697
4.158 1.388 16.697
```

Values from the calculation:
Calculated density ... 6.32 g/cm3
SG ... No. 38
Spin magnetization ... 0.002 μB per formula unit
Uncorrected formation energy ... -260.3 kJ per mole of atoms